[1]
Density functional theory data (PBE) for a relaxed structure of KCaNp2O8.

The total magnetization is 0.085 μB/atom. Its total energy is -8.1845 eV per atom.

The space group is I-4 (No. 82) and the conventional cell measures 5.543, 5.543 and 10.500 Å, with angles of 90.00, 90.00 and 90.00 degrees. The distinct sites, in fractional coordinates, are K at (0.000, 0.000, 0.000), Ca at (0.000, 0.500, 0.750), Np at (0.000, 0.000, 0.500), Np at (0.000, 0.500, 0.250), O at (0.208, 0.267, 0.355) and O at (0.212, 0.217, 0.611).



[2]
Density functional theory data (PBE) for a relaxed structure of Tb4PdSe2Cl.

The total magnetization is 0.000 μB/atom. Its total energy is -5.4769 eV per atom.

The space group is P2/m (No. 10) and the conventional cell measures 7.120, 3.957 and 7.241 Å, with angles of 90.00, 108.33 and 90.00 degrees. The distinct sites, in fractional coordinates, are Tb at (0.235, 0.000, 0.239), Tb at (0.241, 0.500, 0.745), Pd at (0.000, 0.500, 0.000), Se at (0.000, 0.000, 0.500), Se at (0.500, 0.500, 0.500) and Cl at (0.500, 0.000, 0.000).



[3]
Density functional theory data (PBE) for a relaxed structure of TlCd6Hg3.

The calculated formation energy comes out at 29.4 meV per atom. The total magnetization is 0.000 μB/atom. Its total energy is -0.8468 eV per atom. The value obtained for the excess energy over the best structure of this formula in the dataset is 0.000 eV/atom.

The space group is Cmc2_1 (No. 36) and the conventional cell measures 8.631, 14.246 and 8.368 Å, with angles of 90.00, 90.00 and 90.00 degrees. The distinct sites, in fractional coordinates, are Tl at (0.000, 0.216, 0.000), Cd at (0.000, 0.016, 0.242), Cd at (0.000, 0.308, 0.494), Cd at (0.184, 0.154, 0.655), Cd at (0.237, 0.467, 0.479), Hg at (0.000, 0.442, 0.199) and Hg at (0.246, 0.161, 0.297).